(1)
Material: Cs2AgCl6O
Method: DFT, PBE-GGA
State: relaxed

a = 6.924 Å, b = 6.924 Å, c = 7.576 Å
α = 62.81°, β = 62.81°, γ = 90.00°
Element x y z (fractional)
Cs1 0.750 0.250 0.500
Cs2 0.250 0.750 0.500
Cl1 0.726 0.726 0.000
Cl2 0.795 0.795 0.410
Cl3 0.726 0.274 0.000
Cl4 0.274 0.274 0.000
Cl5 0.205 0.205 0.590
Cl6 0.274 0.726 0.000
Ag1 0.000 0.000 0.000
O1 0.500 0.500 0.000

Computed properties:
Energy relative to the elements, uncorrected = -717 meV per atom
Total DFT energy (no corrections) = -2.777 eV per atom

(2)
Material: Cs8AgClO2
Method: DFT, PBE-GGA
State: relaxed

a = 9.177 Å, b = 9.177 Å, c = 10.818 Å
α = 90.00°, β = 90.00°, γ = 120.00°
Element x y z (fractional)
Cl1 0.000 0.000 0.000
O1 0.667 0.333 0.297
O2 0.333 0.667 0.703
Cs1 0.656 0.828 0.784
Cs2 0.172 0.344 0.784
Cs3 0.344 0.172 0.216
Cs4 0.172 0.828 0.784
Cs5 0.828 0.172 0.216
Cs6 0.667 0.333 0.537
Cs7 0.333 0.667 0.463
Cs8 0.828 0.656 0.216
Ag1 0.000 0.000 0.500

Computed properties:
Energy relative to the elements, uncorrected = -789 meV per atom
Total DFT energy (no corrections) = -2.576 eV per atom

(3)
Material: CsAgOsCl6
Method: DFT, PBE-GGA
State: relaxed

a = 6.870 Å, b = 6.870 Å, c = 7.481 Å
α = 90.00°, β = 90.00°, γ = 60.00°
Element x y z (fractional)
Cl1 0.047 0.607 0.680
Cl2 0.346 0.607 0.320
Cl3 0.607 0.047 0.320
Cl4 0.047 0.346 0.320
Cl5 0.607 0.346 0.680
Cl6 0.346 0.047 0.680
Os1 0.333 0.333 0.500
Cs1 0.000 0.000 0.000
Ag1 0.667 0.667 0.500

Computed properties:
Energy relative to the elements, uncorrected = -792 meV per atom
Total DFT energy (no corrections) = -3.682 eV per atom

> Among the records above, which one has the highest total DFT energy (no corrections)?

Cs8AgClO2

Repeat the second record exactly.
Material: Cs8AgClO2
Method: DFT, PBE-GGA
State: relaxed

a = 9.177 Å, b = 9.177 Å, c = 10.818 Å
α = 90.00°, β = 90.00°, γ = 120.00°
Element x y z (fractional)
Cl1 0.000 0.000 0.000
O1 0.667 0.333 0.297
O2 0.333 0.667 0.703
Cs1 0.656 0.828 0.784
Cs2 0.172 0.344 0.784
Cs3 0.344 0.172 0.216
Cs4 0.172 0.828 0.784
Cs5 0.828 0.172 0.216
Cs6 0.667 0.333 0.537
Cs7 0.333 0.667 0.463
Cs8 0.828 0.656 0.216
Ag1 0.000 0.000 0.500

Computed properties:
Energy relative to the elements, uncorrected = -789 meV per atom
Total DFT energy (no corrections) = -2.576 eV per atom